(1)
AcYPdAu | PBE | optimized geometry

Cell lengths 4.875, 5.850, 5.850 Å; angles 39.68, 90.00, 90.00 degrees
Element x y z (fractional)
Ac 0.000 0.000 0.000
Y 0.500 0.725 0.725
Pd 0.000 0.273 0.273
Au 0.500 0.439 0.439

Summary:
E_form	-809	meV/atom
total magnetic moment	0.00	μB/f.u.
excess energy over the best structure of this formula in the dataset	0	meV per atom
space group	Amm2 (38)
final energy	-5.57	eV/atom
V	26.63	Å³ per atom

=====

(2)
AcYPdAu | PBE | optimized geometry

Cell lengths 5.272, 5.272, 5.272 Å; angles 60.00, 60.00, 60.00 degrees
Element x y z (fractional)
Ac 0.000 0.000 0.000
Y 0.500 0.500 0.500
Pd 0.750 0.750 0.750
Au 0.250 0.250 0.250

Summary:
E_form	-730	meV/atom
total magnetic moment	0.00	μB/f.u.
excess energy over the best structure of this formula in the dataset	79	meV per atom
space group	F-43m (216)
final energy	-5.49	eV/atom
V	25.90	Å³ per atom